{
  "formula": "Nd5Sm12Tm2",
  "functional": "PBE-GGA",
  "state": "relaxed",
  "cell": [[-0.877, 6.479, 3.024], [-7.069, -6.407, 3.096], [2.556, -3.999, 9.310]],
  "species": ["Sm", "Sm", "Sm", "Sm", "Nd", "Nd", "Sm", "Tm", "Sm", "Sm", "Nd", "Nd", "Sm", "Nd", "Sm", "Sm", "Sm", "Sm", "Tm"],
  "frac_coords": [[0.416, 0.331, 0.482], [0.911, 0.319, 0.134], [0.584, 0.669, 0.518], [0.915, 0.331, 0.482], [0.000, 0.000, 0.500], [0.676, 0.352, 0.792], [0.592, 0.681, 0.866], [0.280, 0.000, 0.000], [0.089, 0.681, 0.866], [0.497, 0.995, 0.319], [0.816, 0.631, 0.184], [0.184, 0.369, 0.816], [0.085, 0.669, 0.518], [0.324, 0.648, 0.208], [0.022, 0.043, 0.761], [0.503, 0.005, 0.681], [0.978, 0.957, 0.239], [0.408, 0.319, 0.134], [0.720, 0.000, 0.000]],
  "space_group": "No. 12",
  "ef_ev_per_atom": 0.17
}

=====

{
  "formula": "Nd5Sm2Tm",
  "functional": "PBE-GGA",
  "state": "relaxed",
  "cell": [[5.148, 0.000, 0.000], [0.000, 7.280, 0.000], [0.000, 0.000, 14.595]],
  "species": ["Nd", "Tm", "Nd", "Sm", "Nd", "Nd", "Nd", "Tm", "Nd", "Nd", "Sm", "Nd", "Sm", "Sm", "Nd", "Nd"],
  "frac_coords": [[0.000, 0.500, 0.500], [0.000, 0.000, 0.500], [0.000, 0.501, 0.752], [0.500, 0.250, 0.124], [0.500, 0.251, 0.876], [0.000, 0.001, 0.748], [0.500, 0.749, 0.124], [0.000, 0.500, 0.000], [0.000, 0.000, 0.000], [0.500, 0.249, 0.376], [0.500, 0.250, 0.624], [0.000, 0.999, 0.252], [0.500, 0.750, 0.376], [0.500, 0.750, 0.876], [0.000, 0.499, 0.248], [0.500, 0.751, 0.624]],
  "space_group": "No. 55",
  "ef_ev_per_atom": 0.02
}

=====

{
  "formula": "Nd6Sm16Tm7",
  "functional": "PBE-GGA",
  "state": "relaxed",
  "cell": [[-5.488, 6.548, 7.307], [4.653, 2.466, 9.932], [3.664, 10.427, 2.056]],
  "species": ["Sm", "Nd", "Tm", "Sm", "Tm", "Tm", "Nd", "Sm", "Tm", "Sm", "Nd", "Nd", "Sm", "Nd", "Sm", "Tm", "Nd", "Sm", "Sm", "Sm", "Sm", "Tm", "Sm", "Sm", "Sm", "Tm", "Sm", "Sm", "Sm"],
  "frac_coords": [[0.347, 0.959, 0.347], [0.287, 0.287, 0.713], [0.000, 0.000, 0.000], [0.653, 0.653, 0.653], [0.000, 0.500, 0.500], [0.500, 0.000, 0.000], [0.713, 0.713, 0.287], [0.347, 0.347, 0.959], [0.000, 0.500, 0.000], [0.653, 0.041, 0.653], [0.287, 0.713, 0.713], [0.713, 0.287, 0.713], [0.347, 0.347, 0.347], [0.713, 0.287, 0.287], [0.959, 0.347, 0.347], [0.500, 0.500, 0.000], [0.287, 0.713, 0.287], [0.877, 0.877, 0.368], [0.368, 0.877, 0.877], [0.877, 0.368, 0.877], [0.632, 0.123, 0.123], [0.000, 0.000, 0.500], [0.877, 0.877, 0.877], [0.123, 0.123, 0.632], [0.041, 0.653, 0.653], [0.500, 0.000, 0.500], [0.123, 0.123, 0.123], [0.653, 0.653, 0.041], [0.123, 0.632, 0.123]],
  "space_group": "No. 225",
  "ef_ev_per_atom": 0.21
}

=====

{
  "formula": "Nd10SmTm6",
  "functional": "PBE-GGA",
  "state": "relaxed",
  "cell": [[-3.643, -4.976, -3.089], [1.800, 4.108, -8.740], [6.154, -6.750, 3.616]],
  "species": ["Tm", "Nd", "Nd", "Nd", "Nd", "Nd", "Tm", "Sm", "Tm", "Nd", "Nd", "Tm", "Tm", "Nd", "Nd", "Nd", "Tm"],
  "frac_coords": [[0.315, 0.368, 0.000], [0.820, 0.000, 0.278], [0.180, 0.278, 0.278], [0.180, 0.000, 0.722], [0.000, 0.667, 0.333], [0.500, 0.667, 0.333], [0.685, 0.000, 0.632], [0.500, 0.000, 0.000], [0.685, 0.368, 0.368], [0.000, 0.333, 0.667], [0.180, 0.722, 0.000], [0.315, 0.000, 0.368], [0.315, 0.632, 0.632], [0.500, 0.333, 0.667], [0.820, 0.278, 0.000], [0.820, 0.722, 0.722], [0.685, 0.632, 0.000]],
  "space_group": "No. 162",
  "ef_ev_per_atom": 0.13
}

=====

{
  "formula": "Nd5Sm2Tm5",
  "functional": "PBE-GGA",
  "state": "relaxed",
  "cell": [[-0.771, -0.891, -5.569], [-3.040, -4.221, 4.006], [-7.042, 10.230, -0.662]],
  "species": ["Tm", "Nd", "Nd", "Tm", "Tm", "Nd", "Sm", "Nd", "Tm", "Tm", "Sm", "Nd"],
  "frac_coords": [[0.576, 0.152, 0.248], [0.264, 0.527, 0.223], [0.825, 0.651, 0.542], [0.424, 0.848, 0.752], [0.500, 0.000, 0.500], [0.000, 0.000, 0.000], [0.098, 0.195, 0.713], [0.736, 0.473, 0.777], [0.317, 0.634, 0.974], [0.683, 0.366, 0.026], [0.902, 0.805, 0.287], [0.175, 0.349, 0.458]],
  "space_group": "No. 12",
  "ef_ev_per_atom": 0.10
}

=====

{
  "formula": "NdSm9Tm2",
  "functional": "PBE-GGA",
  "state": "relaxed",
  "cell": [[-0.300, 2.457, -4.461], [-5.089, 0.025, 0.356], [0.579, 13.417, 7.351]],
  "species": ["Tm", "Sm", "Sm", "Sm", "Sm", "Sm", "Tm", "Sm", "Sm", "Nd", "Sm", "Sm"],
  "frac_coords": [[0.000, 0.000, 0.335], [0.000, 0.500, 0.500], [0.500, 0.000, 0.831], [0.500, 0.500, 0.336], [0.000, 0.500, 0.169], [0.500, 0.000, 0.500], [0.000, 0.000, 0.665], [0.500, 0.500, 0.000], [0.500, 0.000, 0.169], [0.000, 0.000, 0.000], [0.000, 0.500, 0.831], [0.500, 0.500, 0.664]],
  "space_group": "No. 123",
  "ef_ev_per_atom": 0.02
}

=====

{
  "formula": "Nd3SmTm12",
  "functional": "PBE-GGA",
  "state": "relaxed",
  "cell": [[4.995, 0.000, 0.000], [0.000, 4.995, 0.000], [0.000, 0.000, 19.995]],
  "species": ["Sm", "Tm", "Tm", "Tm", "Tm", "Tm", "Tm", "Tm", "Nd", "Tm", "Tm", "Tm", "Tm", "Nd", "Tm", "Nd"],
  "frac_coords": [[0.000, 0.000, 0.000], [0.000, 0.500, 0.124], [0.500, 0.000, 0.124], [0.500, 0.000, 0.375], [0.500, 0.500, 0.249], [0.000, 0.500, 0.876], [0.500, 0.500, 0.500], [0.500, 0.500, 0.751], [0.000, 0.000, 0.500], [0.500, 0.000, 0.876], [0.500, 0.000, 0.625], [0.000, 0.500, 0.625], [0.500, 0.500, 0.000], [0.000, 0.000, 0.750], [0.000, 0.500, 0.375], [0.000, 0.000, 0.250]],
  "space_group": "No. 123",
  "ef_ev_per_atom": 0.03
}

=====

{
  "formula": "Nd4Sm2Tm3",
  "functional": "PBE-GGA",
  "state": "relaxed",
  "cell": [[-2.289, -5.723, -0.847], [1.881, -7.756, 8.087], [-8.863, -3.201, 6.348]],
  "species": ["Nd", "Sm", "Tm", "Nd", "Tm", "Nd", "Tm", "Tm", "Tm", "Nd", "Nd", "Nd", "Sm", "Tm", "Sm", "Sm", "Nd", "Nd"],
  "frac_coords": [[0.083, 0.811, 0.093], [0.584, 0.757, 0.478], [0.250, 0.601, 0.399], [0.582, 0.427, 0.144], [0.747, 0.066, 0.268], [0.917, 0.189, 0.907], [0.253, 0.934, 0.732], [0.750, 0.399, 0.601], [0.247, 0.268, 0.066], [0.918, 0.856, 0.573], [0.417, 0.907, 0.189], [0.418, 0.573, 0.856], [0.416, 0.243, 0.522], [0.753, 0.732, 0.934], [0.084, 0.478, 0.757], [0.916, 0.522, 0.243], [0.583, 0.093, 0.811], [0.082, 0.144, 0.427]],
  "space_group": "No. 15",
  "ef_ev_per_atom": 0.08
}

=====

{
  "formula": "Nd2Sm3Tm2",
  "functional": "PBE-GGA",
  "state": "relaxed",
  "cell": [[-2.458, 1.798, 1.945], [-7.922, -4.985, -5.385], [-0.789, -3.179, 5.283]],
  "species": ["Tm", "Sm", "Nd", "Sm", "Nd", "Sm", "Tm"],
  "frac_coords": [[0.429, 0.287, 0.141], [0.000, 0.000, 0.000], [0.283, 0.855, 0.432], [0.143, 0.430, 0.717], [0.717, 0.145, 0.568], [0.857, 0.570, 0.283], [0.571, 0.713, 0.859]],
  "space_group": "No. 2",
  "ef_ev_per_atom": 0.02
}